# HoMn2PbO6 PBE+U relaxed
# Spin magnetization: 14.0 μB per cell
# N(E_F): 3.81 states/eV per cell
# DFT total energy: -7.189 eV per atom
# ρ: 8.08 g/cm3
data_HoMn2PbO6
_cell_length_a 7.810
_cell_length_b 7.756
_cell_length_c 5.530
_cell_angle_alpha 90.00
_cell_angle_beta 134.83
_cell_angle_gamma 90.00
_space_group_name_H-M_alt 'C 1 m 1'
_space_group_IT_number 8
loop_
_space_group_symop_operation_xyz
'x,y,z'
'x,-y,z'
'x+1/2,y+1/2,z'
'x+1/2,-y+1/2,z'
loop_
_atom_site_label
_atom_site_fract_x
_atom_site_fract_y
_atom_site_fract_z
Ho1 0.000 0.000 0.000
Mn1 0.023 0.250 0.502
Pb1 0.032 0.500 0.017
O1 0.098 0.000 0.539
O2 0.286 0.297 0.003
O3 0.294 0.308 0.538
O4 0.413 0.000 0.392